4
Lattice="4.0349 0.0000 0.0000 0.0000 2.7771 0.0903 0.0000 2.5568 5.9523" Properties=species:S:1:pos:R:3 comment="Zn2ReHg (PBE, optimized geometry)" volume_a3_per_atom=16.4 formation_energy_ev_per_atom=0.3865 pbc="T T T"
Zn 0.0000 2.5694 5.7438
Zn 0.0000 2.6544 3.2299
Re 2.0175 4.0004 4.5319
Hg 2.0175 1.3335 1.5106

=====

4
Lattice="5.2318 0.0121 0.0000 2.4710 4.6115 0.0000 -3.8514 -2.3118 2.6822" Properties=species:S:1:pos:R:3 comment="Zn2ReHg (PBE, optimized geometry)" volume_a3_per_atom=16.2 formation_energy_ev_per_atom=0.5339 pbc="T T T"
Zn 0.0000 0.0000 0.0000
Zn 1.2355 2.3058 1.3411
Hg 3.8514 2.3118 0.0000
Re 2.6159 0.0060 1.3411

=====

4
Lattice="-1.7252 -0.5154 3.7437 3.7529 -0.7137 1.6312 0.4386 4.0391 0.7581" Properties=species:S:1:pos:R:3 comment="ZnReHg2 (PBE, optimized geometry)" volume_a3_per_atom=17.8 formation_energy_ev_per_atom=0.6811 pbc="T T T"
Hg 0.0000 0.0000 0.0000
Hg 1.0138 -0.6145 2.6875
Zn 2.0957 1.6627 1.1947
Re -0.6433 1.7619 2.2509

=====

4
Lattice="2.8384 -0.1337 0.0000 -1.1174 2.6127 0.0000 0.0000 0.0000 9.2075" Properties=species:S:1:pos:R:3 comment="Zn2ReHg (PBE, optimized geometry)" volume_a3_per_atom=16.7 formation_energy_ev_per_atom=0.3652 pbc="T T T"
Re 0.8605 1.2395 6.9056
Zn 0.0000 0.0000 4.7692
Zn 0.0000 0.0000 9.0421
Hg 0.8605 1.2395 2.3019

=====

4
Lattice="2.8075 0.0000 0.0000 0.0000 2.8075 0.0000 0.0000 0.0000 8.6089" Properties=species:S:1:pos:R:3 comment="Zn2ReHg (PBE, optimized geometry)" volume_a3_per_atom=17.0 formation_energy_ev_per_atom=0.3690 pbc="T T T"
Hg 1.4038 1.4038 2.1522
Zn 0.0000 0.0000 4.5802
Zn 0.0000 0.0000 8.3332
Re 1.4038 1.4038 6.4567

=====

4
Lattice="-2.8555 4.8969 1.0051 -3.7180 0.1591 4.3926 5.3514 -0.5306 -2.0555" Properties=species:S:1:pos:R:3 comment="ZnReHg2 (PBE, optimized geometry)" volume_a3_per_atom=18.3 formation_energy_ev_per_atom=0.7560 pbc="T T T"
Re -0.3954 3.4472 0.8243
Zn -0.8267 1.0782 2.5180
Hg -3.2567 2.5049 2.6742
Hg -0.0300 0.0231 0.0246

=====

4
Lattice="5.6376 -0.0042 0.0856 4.9126 2.7656 0.0856 2.0355 0.5328 4.7025" Properties=species:S:1:pos:R:3 comment="ZnReHg2 (PBE, optimized geometry)" volume_a3_per_atom=18.2 formation_energy_ev_per_atom=0.5810 pbc="T T T"
Hg 10.5971 2.7737 0.5167
Hg 9.4371 2.4701 3.2623
Zn 2.7752 0.7264 0.9533
Re 6.6192 1.7325 2.7495

=====

4
Lattice="-2.2852 -1.4873 4.3524 -1.2519 -3.8635 3.1438 4.0649 0.0978 3.2830" Properties=species:S:1:pos:R:3 comment="ZnReHg2 (PBE, optimized geometry)" volume_a3_per_atom=18.1 formation_energy_ev_per_atom=0.6940 pbc="T T T"
Re 0.3958 -3.9397 8.0844
Hg 0.2743 -2.6255 5.3965
Hg 4.0544 0.0968 3.2761
Zn 0.1319 -1.3132 2.6948

=====

4
Lattice="-2.6364 -2.9681 1.8437 -0.8163 -0.8216 -2.4898 3.5827 -4.0227 -1.3529" Properties=species:S:1:pos:R:3 comment="Zn2ReHg (PBE, optimized geometry)" volume_a3_per_atom=16.2 formation_energy_ev_per_atom=0.4308 pbc="T T T"
Zn 3.3148 -4.0737 -1.8182
Zn -0.4780 -2.5377 0.4271
Hg 1.3573 -2.3001 -1.7620
Re 0.9018 -5.3456 -2.1202

=====

8
Lattice="3.9871 0.0000 0.0000 0.0000 3.9871 0.0000 1.9935 1.9935 9.8799" Properties=species:S:1:pos:R:3 comment="ZnReHg2 (PBE, optimized geometry)" volume_a3_per_atom=19.6 formation_energy_ev_per_atom=0.9490 pbc="T T T"
Zn 1.9935 1.9935 0.0000
Zn 1.9935 3.9871 4.9399
Hg 0.9791 2.9903 2.4700
Hg 2.9903 2.9727 7.4099
Hg 3.0080 0.9968 2.4700
Hg 4.9839 5.0015 7.4099
Re 0.0000 0.0000 0.0000
Re 3.9871 1.9935 4.9399

=====

4
Lattice="4.8654 -0.0877 0.0000 1.5610 4.6090 0.0000 -3.2132 -2.2606 2.8713" Properties=species:S:1:pos:R:3 comment="Zn2ReHg (PBE, optimized geometry)" volume_a3_per_atom=16.2 formation_energy_ev_per_atom=0.5929 pbc="T T T"
Zn 3.2132 2.2606 0.0000
Zn 0.0000 0.0000 0.0000
Re 2.4327 -0.0438 1.4357
Hg 0.7805 2.3045 1.4357

=====

4
Lattice="-3.1040 -0.5639 -3.2266 -1.9511 -0.5981 1.9814 -2.4519 5.0909 1.4689" Properties=species:S:1:pos:R:3 comment="ZnReHg2 (PBE, optimized geometry)" volume_a3_per_atom=18.0 formation_energy_ev_per_atom=0.7308 pbc="T T T"
Hg -2.4032 2.1889 1.9293
Hg -4.2012 4.5504 3.2462
Zn -4.8542 3.0877 0.9745
Re -2.6527 0.8412 -0.7507